[1]
# PBE SmDy5Ru4, optimized geometry
# Total magnetization   0.000 μB per atom
# Raw total energy   -0.2488 Ha/atom
# Energy relative to the elements   -0.29 eV per atom
data_SmDy5Ru4
_space_group_name_H-M_alt 'P 4/m m m'
_space_group_IT_number 123
_space_group_name_Hall '-P 4 2'
_cell_length_a 3.411
_cell_length_b 3.411
_cell_length_c 19.215
_cell_angle_alpha 90.00
_cell_angle_beta 90.00
_cell_angle_gamma 90.00
loop_
_atom_site_label
_atom_site_fract_x
_atom_site_fract_y
_atom_site_fract_z
Sm1 0.000 0.000 0.000
Dy1 0.500 0.500 0.149
Dy2 0.500 0.500 0.324
Dy3 0.500 0.500 0.500
Ru1 0.000 0.000 0.230
Ru2 0.000 0.000 0.411

=====

[2]
# PBE Cs2SeBr4, optimized geometry
# Distance to the lowest polymorph of the same formula   75 meV/atom
# Total magnetization   0.000 μB per atom
# Raw total energy   -0.1005 Ha/atom
data_Cs2SeBr4
_space_group_name_H-M_alt 'I 4/m m m'
_space_group_IT_number 139
_space_group_name_Hall '-I 4 2'
_cell_length_a 5.826
_cell_length_b 5.826
_cell_length_c 17.227
_cell_angle_alpha 90.00
_cell_angle_beta 90.00
_cell_angle_gamma 90.00
loop_
_atom_site_label
_atom_site_fract_x
_atom_site_fract_y
_atom_site_fract_z
Cs1 0.000 0.000 0.133
Se1 0.000 0.000 0.500
Br1 0.000 0.000 0.347
Br2 0.000 0.500 0.000